The following is a DFT calculation (PBEsol) of Cd3Pb after structural relaxation.

Spin magnetization: 0.0 μB per formula unit
DOS(E_F): 0.395 states/eV/atom
Formation energy from the elements: 8.43 kJ/mol of atoms
Theoretical density: 9.44 g/cm³

Cell lengths 3.044, 3.256, 10.933 Å; angles 90.00, 90.00, 117.87 degrees
Sites, in units of the cell vectors:
Cd 0.500 0.000 0.000
Pb 0.500 0.000 0.500
Cd 0.000 0.000 0.766
Cd 0.000 0.000 0.234

***

The following is a DFT calculation (PBEsol) of Cd2Pb after structural relaxation.

Spin magnetization: 0.0 μB per formula unit
DOS(E_F): 0.353 states/eV/atom
Formation energy from the elements: 4.70 kJ/mol of atoms
Theoretical density: 9.90 g/cm³

Cell lengths 3.198, 5.781, 8.783 Å; angles 110.87, 90.00, 106.06 degrees
Sites, in units of the cell vectors:
Pb 0.336 0.672 0.390
Cd 0.655 0.310 0.047
Cd 0.025 0.050 0.243
Pb 0.664 0.328 0.610
Cd 0.975 0.950 0.757
Cd 0.345 0.690 0.953

***

The following is a DFT calculation (PBEsol) of Cd4Pb after structural relaxation.

Spin magnetization: 0.0 μB per formula unit
DOS(E_F): 0.360 states/eV/atom
Formation energy from the elements: 7.89 kJ/mol of atoms
Theoretical density: 9.09 g/cm³

Cell lengths 4.154, 4.154, 7.547 Å; angles 105.97, 105.97, 90.00 degrees
Sites, in units of the cell vectors:
Cd 0.750 0.250 0.500
Pb 0.000 0.000 0.000
Cd 0.250 0.750 0.500
Cd 0.399 0.399 0.798
Cd 0.601 0.601 0.202

***

The following is a DFT calculation (PBEsol) of Cd3Pb after structural relaxation.

Spin magnetization: 0.0 μB per formula unit
DOS(E_F): 0.407 states/eV/atom
Formation energy from the elements: 8.15 kJ/mol of atoms
Theoretical density: 9.53 g/cm³

Cell lengths 3.361, 5.377, 6.131 Å; angles 116.01, 105.91, 90.00 degrees
Sites, in units of the cell vectors:
Cd 0.761 0.781 0.521
Cd 0.239 0.260 0.479
Cd 0.500 0.149 0.000
Pb 0.000 0.644 0.000

***

The following is a DFT calculation (PBEsol) of Cd4Pb after structural relaxation.

Spin magnetization: 0.0 μB per formula unit
DOS(E_F): 0.344 states/eV/atom
Formation energy from the elements: 5.39 kJ/mol of atoms
Theoretical density: 9.51 g/cm³

Cell lengths 4.558, 5.509, 5.509 Å; angles 80.15, 65.57, 65.57 degrees
Sites, in units of the cell vectors:
Cd 0.413 0.781 0.393
Cd 0.194 0.393 0.219
Cd 0.587 0.219 0.607
Cd 0.806 0.607 0.781
Pb 0.000 0.000 0.000

***

The following is a DFT calculation (PBEsol) of Cd5Pb after structural relaxation.

Spin magnetization: 0.0 μB per formula unit
DOS(E_F): 0.392 states/eV/atom
Formation energy from the elements: 4.45 kJ/mol of atoms
Theoretical density: 9.41 g/cm³

Cell lengths 4.497, 4.478, 7.101 Å; angles 71.62, 90.00, 90.00 degrees
Sites, in units of the cell vectors:
Cd 0.500 0.328 0.345
Cd 0.000 0.173 0.654
Cd 0.000 0.827 0.346
Cd 0.500 0.000 0.000
Cd 0.500 0.672 0.655
Pb 0.000 0.500 0.000

***

The following is a DFT calculation (PBEsol) of Cd17Pb12 after structural relaxation.

Spin magnetization: 0.0 μB per formula unit
DOS(E_F): 0.449 states/eV/atom
Formation energy from the elements: 12.56 kJ/mol of atoms
Theoretical density: 9.67 g/cm³

Cell lengths 9.935, 9.935, 9.935 Å; angles 109.47, 109.47, 109.47 degrees
Sites, in units of the cell vectors:
Pb 0.199 0.803 0.199
Cd 0.577 0.000 0.303
Pb 0.000 0.604 0.801
Pb 0.801 0.604 0.000
Pb 0.396 0.197 0.396
Pb 0.604 0.000 0.801
Cd 0.697 0.274 0.697
Pb 0.199 0.199 0.803
Cd 0.343 0.000 0.000
Cd 0.274 0.697 0.697
Cd 0.697 0.697 0.274
Cd 0.303 0.577 0.000
Pb 0.801 0.000 0.604
Pb 0.803 0.199 0.199
Cd 0.000 0.577 0.303
Cd 0.577 0.303 0.000
Pb 0.396 0.396 0.197
Cd 0.657 0.657 0.657
Cd 0.303 0.000 0.577
Cd 0.000 0.303 0.577
Cd 0.000 0.000 0.343
Cd 0.000 0.343 0.000
Cd 0.423 0.726 0.423
Pb 0.197 0.396 0.396
Pb 0.604 0.801 0.000
Cd 0.423 0.423 0.726
Cd 0.000 0.000 0.000
Cd 0.726 0.423 0.423
Pb 0.000 0.801 0.604

***

The following is a DFT calculation (PBEsol) of Cd2Pb after structural relaxation.

Spin magnetization: 0.0 μB per formula unit
DOS(E_F): 0.359 states/eV/atom
Formation energy from the elements: 6.24 kJ/mol of atoms
Theoretical density: 9.87 g/cm³

Cell lengths 3.215, 4.327, 5.882 Å; angles 111.58, 105.86, 90.00 degrees
Sites, in units of the cell vectors:
Cd 0.680 0.680 0.360
Pb 0.000 0.000 0.000
Cd 0.320 0.320 0.640

***

The lowest theoretical density belongs to which entry? number 3

***

Which formula does entry 2 have? Cd2Pb

***

The highest formation energy from the elements belongs to which entry? Cd17Pb12